## HfPAuO2 (PBEsol)

Data for a relaxed structure of HfPAuO2.

Cell and atoms, written as POSCAR:
```
HfPAuO2
1.0
3.900 0.000 0.000
0.000 3.900 0.000
0.000 0.000 5.606
Hf P Au O
1 1 1 2
Direct
0.000 0.000 0.000
0.000 0.000 0.500
0.500 0.500 0.500
0.000 0.500 0.000
0.500 0.000 0.000
```

Output
Raw formation energy in kJ/mol of formula units: -571
Space group: No. 123
DOS(E_F) in states/eV/f.u.: 3.3
E_tot in eV per atom: -7.327
Size of the total moment in μB/f.u.: 0.0

***

## HfTa2AuO (PBEsol)

Data for a relaxed structure of HfTa2AuO.

Cell and atoms, written as POSCAR:
```
HfTa2AuO
1.0
4.868 0.000 0.000
0.000 4.868 0.000
0.000 0.000 4.910
Hf Ta Au O
1 2 1 1
Direct
0.000 0.000 0.000
0.000 0.500 0.000
0.500 0.000 0.000
0.000 0.000 0.500
0.500 0.500 0.500
```

Output
Raw formation energy in kJ/mol of formula units: 1092
Space group: No. 123
DOS(E_F) in states/eV/f.u.: 5.7
E_tot in eV per atom: -6.691
Size of the total moment in μB/f.u.: 0.0